Entry 1:
! TlFePdS3 | the Open Quantum Materials Database | PBE | relaxed; values from VASP
&SYSTEM
  ibrav = 0, nat = 12, ntyp = 4
/
ATOMIC_SPECIES
Pd 106.42 Pd.upf
Tl 204.38 Tl.upf
S 32.06 S.upf
Fe 55.84 Fe.upf
CELL_PARAMETERS angstrom
-4.8782 -4.7876 3.4282
-1.1582 -1.0680 -3.1396
7.8993 -4.5330 -1.3721
ATOMIC_POSITIONS angstrom
Pd -3.2095 -4.2055 -0.3331
Pd 5.0723 -6.1830 -0.7505
Tl 0.1568 -2.7460 -0.1063
Tl 1.7060 -7.6426 -0.9773
S 5.3904 -5.7051 -2.9955
S -0.1486 -7.6243 1.6658
S 3.0079 -4.8709 -0.4353
S 2.0113 -2.7643 -2.7493
S -3.5276 -4.6835 1.9120
S -1.1451 -5.5177 -0.6483
Fe -1.6299 -5.8403 1.6054
Fe 3.4926 -4.5483 -2.6889
! raw total energy: -4.941 eV/atom

Entry 2:
! FeSbPd2 | the Open Quantum Materials Database | PBE | relaxed; values from VASP
&SYSTEM
  ibrav = 0, nat = 4, ntyp = 3
/
ATOMIC_SPECIES
Pd 106.42 Pd.upf
Fe 55.84 Fe.upf
Sb 121.76 Sb.upf
CELL_PARAMETERS angstrom
0.0000 3.1768 3.1768
3.1768 0.0000 3.1768
3.1768 3.1768 0.0000
ATOMIC_POSITIONS angstrom
Pd 4.7652 4.7652 4.7652
Pd 0.0000 0.0000 0.0000
Fe 1.5884 1.5884 1.5884
Sb 3.1768 3.1768 3.1768
! raw total energy: -5.837 eV/atom